## Dy4Te5Ir (PBE)

Data for an optimized crystal structure of Dy4Te5Ir.

```
10
Lattice="-1.501 3.214 2.276 -6.292 1.030 -5.604 -2.871 -7.616 4.958" Properties=species:S:1:pos:R:3 pbc="T T T"
Te -3.897 2.122 -1.664
Te -3.369 -1.651 0.109
Dy -2.428 -0.213 2.601
Dy -1.468 0.239 -1.305
Te -7.295 -1.721 1.521
Dy -9.196 -3.611 2.935
Ir -0.751 1.607 1.138
Dy -8.236 -3.159 -0.971
Te -4.248 -2.182 4.182
Te -6.416 -1.190 -2.552
```

Values from the calculation:
Crystal system: monoclinic
Raw formation energy (eV/atom): -1.021
SG: C2/m, No. 12
Volume (Å³ per cell): 324.20
Raw total energy (eV/atom): -5.319